1.
VASP calculation (PBE) on a relaxed Tb2Sm2YEr crystal.

Cell: 7.017 5.641 9.771 Å, 90.00 90.00 90.00°
Space group Pmma (No. 51)
One atom of each set of equivalent atoms:
Tb  0.250  0.000  0.162
Tb  0.250  0.500  0.670
Sm  0.000  0.500  0.000
Sm  0.250  0.000  0.825
Y  0.000  0.000  0.500
Er  0.250  0.500  0.339

Output
The calculation puts the density of states at the Fermi level at 9.696 states/eV/f.u. For the formation energy, the calculation gives 62.2 meV/atom. For the calculated volume, the calculation gives 386.8 Å³/cell.

***

2.
VASP calculation (PBE) on a relaxed SmMnGe3Os crystal.

Cell: 7.738 10.905 5.662 Å, 90.00 90.00 90.00°
Space group Cmcm (No. 63)
One atom of each set of equivalent atoms:
Sm  0.000  0.248  0.250
Mn  0.000  0.458  0.750
Ge  0.000  0.257  0.750
Ge  0.240  0.500  0.000
Os  0.000  0.044  0.750

Output
The calculation puts the density of states at the Fermi level at 2.659 states/eV/f.u. For the formation energy, the calculation gives -90.0 meV/atom. For the calculated volume, the calculation gives 477.8 Å³/cell.

***

3.
VASP calculation (PBE) on a relaxed SrAgSn3 crystal.

Cell: 6.035 6.035 6.035 Å, 90.00 90.00 90.00°
Space group Pm-3m (No. 221)
One atom of each set of equivalent atoms:
Sr  0.000  0.000  0.000
Ag  0.500  0.500  0.500
Sn  0.000  0.000  0.500

Output
The calculation puts the density of states at the Fermi level at 6.037 states/eV/f.u. For the formation energy, the calculation gives 1025.0 meV/atom. For the calculated volume, the calculation gives 219.8 Å³/cell.

***

4.
VASP calculation (PBE) on a relaxed ScRu2Pt2 crystal.

Cell: 3.962 3.962 11.266 Å, 90.00 90.00 90.00°
Space group I4/mmm (No. 139)
One atom of each set of equivalent atoms:
Sc  0.000  0.000  0.000
Ru  0.000  0.000  0.402
Pt  0.000  0.500  0.250

Output
The calculation puts the density of states at the Fermi level at 6.633 states/eV/f.u. For the formation energy, the calculation gives -91.6 meV/atom. For the calculated volume, the calculation gives 176.9 Å³/cell.

***

5.
VASP calculation (PBE) on a relaxed GdErAgPt crystal.

Cell: 7.110 7.110 7.110 Å, 90.00 90.00 90.00°
Space group F-43m (No. 216)
One atom of each set of equivalent atoms:
Gd  0.000  0.000  0.000
Er  0.000  0.000  0.500
Ag  0.250  0.250  0.250
Pt  0.250  0.250  0.750

Output
The calculation puts the density of states at the Fermi level at 2.656 states/eV/f.u. For the formation energy, the calculation gives -772.4 meV/atom. For the calculated volume, the calculation gives 359.4 Å³/cell.

***

6.
VASP calculation (PBE) on a relaxed SmEuMgPd crystal.

Cell: 7.470 7.470 7.470 Å, 90.00 90.00 90.00°
Space group F-43m (No. 216)
One atom of each set of equivalent atoms:
Sm  0.000  0.000  0.000
Eu  0.000  0.000  0.500
Mg  0.250  0.250  0.250
Pd  0.250  0.250  0.750

Output
The calculation puts the density of states at the Fermi level at 8.347 states/eV/f.u. For the formation energy, the calculation gives -312.8 meV/atom. For the calculated volume, the calculation gives 416.8 Å³/cell.

***

7.
VASP calculation (PBE) on a relaxed Y3MgCu3 crystal.

Cell: 8.8829 8.8829 4.7692 Å, 90.00 90.00 120.00°
Space group P6_3/m (No. 176)
One atom of each set of equivalent atoms:
Y  0.0739  0.3052  0.2500
Mg  0.3333  0.6667  0.7500
Cu  0.0010  0.4314  0.7500

Output
The calculation puts the density of states at the Fermi level at 5.281 states/eV/f.u. For the formation energy, the calculation gives -27.8 meV/atom. For the calculated volume, the calculation gives 325.9 Å³/cell.

***

8.
VASP calculation (PBE) on a relaxed Nd8Sb2Te crystal.

Cell: 18.867 4.697 8.188 Å, 90.00 93.44 90.00°
Space group C2/m (No. 12)
One atom of each set of equivalent atoms:
Nd  0.000  0.000  0.248
Nd  0.100  0.500  0.018
Nd  0.165  0.500  0.537
Nd  0.216  0.000  0.862
Sb  0.176  0.000  0.267
Te  0.000  0.500  0.500

Output
The calculation puts the density of states at the Fermi level at 13.699 states/eV/f.u. Its raw formation energy is -0.62 eV per atom. For the calculated volume, the calculation gives 724.3 Å³/cell.

***

9.
VASP calculation (PBE) on a relaxed AcNd15Y4 crystal.

Cell: 5.205 5.205 25.936 Å, 90.00 90.00 90.00°
Space group P4/mmm (No. 123)
One atom of each set of equivalent atoms:
Ac  0.000  0.000  0.000
Nd  0.000  0.500  0.105
Nd  0.000  0.500  0.302
Nd  0.000  0.500  0.500
Nd  0.500  0.500  0.000
Nd  0.500  0.500  0.205
Nd  0.500  0.500  0.401
Y  0.000  0.000  0.204
Y  0.000  0.000  0.401

Output
The calculation puts the density of states at the Fermi level at 29.303 states/eV/f.u. For the formation energy, the calculation gives 16.4 meV/atom. For the calculated volume, the calculation gives 702.7 Å³/cell.

***

10.
VASP calculation (PBE) on a relaxed SrPuAu2 crystal.

Cell: 4.2652 4.2652 22.9387 Å, 90.00 90.00 120.00°
Space group R3m (No. 160, hexagonal axes)
One atom of each set of equivalent atoms:
Sr  0.0000  0.0000  0.0000
Pu  0.0000  0.0000  0.1716
Au  0.0000  0.0000  0.5792
Au  0.0000  0.0000  0.7604

Output
The calculation puts the density of states at the Fermi level at 15.987 states/eV/f.u. For the formation energy, the calculation gives -428.9 meV/atom. For the calculated volume, the calculation gives 361.4 Å³/cell.

***

11.
VASP calculation (PBE) on a relaxed MgMo2Se crystal.

Cell: 3.281 4.326 4.751 Å, 90.00 90.00 90.00°
Space group Pmmm (No. 47)
One atom of each set of equivalent atoms:
Mg  0.000  0.000  0.000
Mo  0.000  0.500  0.500
Mo  0.500  0.000  0.500
Se  0.500  0.500  0.000

Output
The calculation puts the density of states at the Fermi level at 3.580 states/eV/f.u. Its raw formation energy is 0.32 eV per atom. For the calculated volume, the calculation gives 67.4 Å³/cell.

***

12.
VASP calculation (PBE) on a relaxed SrTiP2O8 crystal.

Cell: 8.274 5.252 7.447 Å, 90.00 92.74 90.00°
Space group C2/m (No. 12)
One atom of each set of equivalent atoms:
Sr  0.000  0.000  0.000
Ti  0.000  0.000  0.500
P  0.139  0.500  0.281
O  0.033  0.258  0.309
O  0.198  0.500  0.091
O  0.223  0.000  0.571

Output
The calculation puts the density of states at the Fermi level at 0.000 states/eV/f.u. Its raw formation energy is -2.71 eV per atom. For the calculated volume, the calculation gives 323.3 Å³/cell.